! AcMg2Cu6 (PBE, optimized geometry); values from VASP
! Volume = 18.55 Å³/atom
! Magnetic moment = 0.000 μB per cell
! E_tot = -31.52 eV for the cell shown
! Calculated formation energy = 0.04 eV/atom
! ρ = 6.5 Mg/m³
&SYSTEM
  ibrav = 0, nat = 9, ntyp = 3
/
ATOMIC_SPECIES
Ac 227.00 Ac.upf
Mg 24.30 Mg.upf
Cu 63.55 Cu.upf
CELL_PARAMETERS angstrom
7.2620 0.0000 0.0000
-3.6310 6.2890 0.0000
0.0000 0.0000 3.6561
ATOMIC_POSITIONS angstrom
Ac 0.0000 0.0000 0.0000
Mg 0.0000 4.1927 0.0000
Mg 3.6310 2.0963 0.0000
Cu -1.2352 2.1394 1.8281
Cu -2.3958 4.1496 1.8281
Cu 2.4704 0.0000 1.8281
Cu 1.2352 2.1394 1.8281
Cu 4.7916 0.0000 1.8281
Cu 2.3958 4.1496 1.8281

! BeRh2O5 (PBE, optimized geometry); values from VASP
! Volume = 11.34 Å³/atom
! Magnetic moment = 1.214 μB per cell
! E_tot = -101.27 eV for the cell shown
! Energy relative to the elements, uncorrected = -7.41 eV per formula unit
! ρ = 5.4 Mg/m³
&SYSTEM
  ibrav = 0, nat = 16, ntyp = 3
/
ATOMIC_SPECIES
Be 9.01 Be.upf
Rh 102.91 Rh.upf
O 16.00 O.upf
CELL_PARAMETERS angstrom
1.9088 -4.8651 0.0000
1.9088 4.8651 0.0000
0.0000 0.0000 9.7714
ATOMIC_POSITIONS angstrom
Be 1.9088 3.4984 7.3286
Be 1.9088 -3.4984 2.4429
Rh 1.9088 3.4570 0.6445
Rh 1.9088 3.4570 4.2412
Rh 1.9088 -3.4570 5.5302
Rh 1.9088 -3.4570 9.1269
O 1.9088 4.3430 6.0559
O 1.9088 4.3430 8.6012
O 1.9088 2.4498 2.4429
O 1.9088 1.7248 5.3044
O 1.9088 1.7248 9.3528
O 1.9088 -1.7248 0.4187
O 1.9088 -1.7248 4.4671
O 1.9088 -2.4498 7.3286
O 1.9088 -4.3430 1.1702
O 1.9088 -4.3430 3.7155

! TiTcSb2 (PBE, optimized geometry); values from VASP
! Volume = 18.63 Å³/atom
! Magnetic moment = 5.692 μB per cell
! E_tot = -106.49 eV for the cell shown
! Energy relative to the elements, uncorrected = -0.12 eV per formula unit
! E above lowest polymorph = 0.00 kJ/mol of atoms
! ρ = 8.7 Mg/m³
&SYSTEM
  ibrav = 0, nat = 16, ntyp = 3
/
ATOMIC_SPECIES
Ti 47.87 Ti.upf
Tc 98.00 Tc.upf
Sb 121.76 Sb.upf
CELL_PARAMETERS angstrom
6.6795 0.0000 0.0000
0.0000 6.6795 0.0000
0.0000 0.0000 6.6795
ATOMIC_POSITIONS angstrom
Ti 0.0000 0.0000 0.0000
Ti 0.0000 3.3397 3.3397
Ti 3.3397 0.0000 3.3397
Ti 3.3397 3.3397 0.0000
Tc 0.0000 0.0000 3.3397
Tc 0.0000 3.3397 0.0000
Tc 3.3397 0.0000 0.0000
Tc 3.3397 3.3397 3.3397
Sb 1.6699 1.6699 1.6699
Sb 1.6699 1.6699 5.0096
Sb 1.6699 5.0096 1.6699
Sb 1.6699 5.0096 5.0096
Sb 5.0096 1.6699 1.6699
Sb 5.0096 1.6699 5.0096
Sb 5.0096 5.0096 1.6699
Sb 5.0096 5.0096 5.0096